# BaCdAg4 (meta-GGA SCAN, single point on PBEsol structure)
# SG: F-43m
# Theoretical density in g/cm3: 8.8
# N(E_F) in states/eV per atom: 0.698
# Magnetization in μB per formula unit: 0.002
# ΔH_f (0 K) in eV per atom: -0.131
# Crystal system: cubic
data_BaCdAg4
_cell_length_a 5.659
_cell_length_b 5.659
_cell_length_c 5.659
_cell_angle_alpha 60.00
_cell_angle_beta 60.00
_cell_angle_gamma 60.00
_space_group_name_H-M_alt 'P 1'
_space_group_IT_number 1
_space_group_name_Hall 'P 1'
loop_
_atom_site_label
_atom_site_type_symbol
_atom_site_fract_x
_atom_site_fract_y
_atom_site_fract_z
_atom_site_occupancy
Ba1 Ba 0.000 0.000 0.000 1
Cd1 Cd 0.250 0.250 0.250 1
Ag1 Ag 0.129 0.624 0.624 1
Ag2 Ag 0.624 0.129 0.624 1
Ag3 Ag 0.624 0.624 0.129 1
Ag4 Ag 0.624 0.624 0.624 1